Entry 1:
Density functional theory data (PBE) for an optimized crystal structure of CsMgNiTe3.

Computed properties:
The calculated volume is 32.87 Å³ per atom. The magnetization comes out at 0.31 μB per formula unit. The energy above the most stable polymorph in this dataset comes out at 94 meV/atom.

a = 8.741 Å, b = 8.741 Å, c = 11.229 Å
α = 90.00°, β = 90.00°, γ = 152.63°
Positions (direct):
Cs 0.246 0.754 0.750
Cs 0.754 0.246 0.250
Mg 0.466 0.534 0.250
Mg 0.534 0.466 0.750
Ni 0.000 0.000 0.000
Ni 0.000 0.000 0.500
Te 0.067 0.933 0.250
Te 0.400 0.600 0.025
Te 0.400 0.600 0.475
Te 0.600 0.400 0.525
Te 0.600 0.400 0.975
Te 0.933 0.067 0.750

***

Entry 2:
Density functional theory data (PBE) for an optimized crystal structure of ErHf2In3Ir2.

Computed properties:
The calculated volume is 20.79 Å³ per atom. The magnetization comes out at 0.00 μB per formula unit. The electronic total energy is -0.2538 Ha/atom.

a = 3.320 Å, b = 7.637 Å, c = 7.637 Å
α = 120.77°, β = 90.00°, γ = 90.00°
Positions (direct):
Er 0.000 0.000 0.000
Hf 0.000 0.419 0.843
Hf 0.000 0.843 0.419
In 0.500 0.189 0.423
In 0.500 0.423 0.189
In 0.500 0.648 0.648
Ir 0.500 0.089 0.743
Ir 0.500 0.743 0.089

***

Entry 3:
Density functional theory data (PBE) for an optimized crystal structure of HfAlBi.

Computed properties:
The calculated volume is 27.68 Å³ per atom. The magnetization comes out at 0.01 μB per formula unit. The energy above the most stable polymorph in this dataset comes out at 297 meV/atom.

a = 4.897 Å, b = 4.897 Å, c = 4.897 Å
α = 60.00°, β = 60.00°, γ = 60.00°
Positions (direct):
Hf 0.000 0.000 0.000
Al 0.500 0.500 0.500
Bi 0.750 0.750 0.750

***

Entry 4:
Density functional theory data (PBE) for an optimized crystal structure of LiSnAu2.

Computed properties:
The calculated volume is 18.61 Å³ per atom. The electronic total energy is -0.1279 Ha/atom.

a = 4.405 Å, b = 4.405 Å, c = 3.838 Å
α = 90.00°, β = 90.00°, γ = 90.00°
Positions (direct):
Li 0.000 0.000 0.000
Sn 0.500 0.500 0.000
Au 0.000 0.500 0.500
Au 0.500 0.000 0.500

***

Entry 5:
Density functional theory data (PBE) for an optimized crystal structure of MgTaFeB.

Computed properties:
The calculated volume is 12.62 Å³ per atom. The magnetization comes out at 0.10 μB per formula unit. The energy above the most stable polymorph in this dataset comes out at 0 meV/atom.

a = 4.148 Å, b = 4.148 Å, c = 4.148 Å
α = 60.00°, β = 60.00°, γ = 60.00°
Positions (direct):
Mg 0.000 0.000 0.000
Ta 0.500 0.500 0.500
Fe 0.750 0.750 0.750
B 0.250 0.250 0.250

***

Entry 6:
Density functional theory data (PBE) for an optimized crystal structure of HgIrO3.

Computed properties:
The calculated volume is 13.35 Å³ per atom. The magnetization comes out at 0.00 μB per formula unit. The electronic total energy is -0.1936 Ha/atom.

a = 6.044 Å, b = 6.044 Å, c = 6.044 Å
α = 53.79°, β = 53.79°, γ = 53.79°
Positions (direct):
Hg 0.124 0.124 0.124
Hg 0.876 0.876 0.876
Ir 0.337 0.337 0.337
Ir 0.663 0.663 0.663
O 0.060 0.683 0.467
O 0.317 0.533 0.940
O 0.467 0.060 0.683
O 0.533 0.940 0.317
O 0.683 0.467 0.060
O 0.940 0.317 0.533

***

no.,theoretical density (Mg/m³)
1,5.0
2,12.5
3,8.3
4,11.6
5,8.9
6,11.0